# Mg3Ag2 PBEsol optimized geometry
# Total magnetization: 0.00 Bohr magnetons per cell
# DFT total energy: -2.516 eV per atom
# E above lowest polymorph: 0 meV per atom
# ΔE_f: -15.5 kJ per mole of atoms
# Fermi-level density of states: 1.33 states/eV/f.u.
data_Mg3Ag2
_chemical_formula_sum 'Mg6 Ag4'
_cell_length_a 10.209
_cell_length_b 3.542
_cell_length_c 7.132
_cell_angle_alpha 90.00
_cell_angle_beta 134.11
_cell_angle_gamma 90.00
_space_group_name_H-M_alt 'C 1 2/m 1'
_space_group_IT_number 12
_space_group_name_Hall '-C 2y'
loop_
_atom_site_label
_atom_site_type_symbol
_atom_site_fract_x
_atom_site_fract_y
_atom_site_fract_z
Mg1 Mg 0.000 0.000 0.000
Mg2 Mg 0.182 0.000 0.593
Ag1 Ag 0.100 0.500 0.810